# Er3Co29Si4B10 (GGA-PBEsol, optimized geometry)
# Space-group type: P4/nmm (129)
# Energy relative to the elements, uncorrected, eV per atom: -0.490
data_Er3Co29Si4B10
_cell_length_a 10.9512
_cell_length_b 10.9512
_cell_length_c 7.6989
_cell_angle_alpha 90.00
_cell_angle_beta 90.00
_cell_angle_gamma 90.00
_space_group_name_H-M_alt 'P 1'
_space_group_IT_number 1
_space_group_name_Hall 'P 1'
loop_
_atom_site_label
_atom_site_type_symbol
_atom_site_fract_x
_atom_site_fract_y
_atom_site_fract_z
Er1 Er 0.0000 0.0000 0.0000
Er2 Er 0.0000 0.5000 0.0000
Er3 Er 0.2500 0.7500 0.5000
Er4 Er 0.5000 0.0000 0.0000
Er5 Er 0.5000 0.5000 0.0000
Er6 Er 0.7500 0.2500 0.5000
Co1 Co 0.0217 0.2500 0.4733
Co2 Co 0.0755 0.5883 0.3359
Co3 Co 0.0755 0.9117 0.3359
Co4 Co 0.0852 0.2500 0.9706
Co5 Co 0.0883 0.5755 0.6641
Co6 Co 0.0883 0.9245 0.6641
Co7 Co 0.1336 0.1336 0.2477
Co8 Co 0.1336 0.3664 0.2477
Co9 Co 0.1398 0.1398 0.6991
Co10 Co 0.1398 0.3602 0.6991
Co11 Co 0.1402 0.7500 0.1112
Co12 Co 0.2500 0.0217 0.4733
Co13 Co 0.2500 0.0852 0.9706
Co14 Co 0.2500 0.2500 0.4654
Co15 Co 0.2500 0.4148 0.9706
Co16 Co 0.2500 0.4783 0.4733
Co17 Co 0.2500 0.6402 0.8888
Co18 Co 0.2500 0.8598 0.8888
Co19 Co 0.3602 0.1398 0.6991
Co20 Co 0.3602 0.3602 0.6991
Co21 Co 0.3598 0.7500 0.1112
Co22 Co 0.3664 0.1336 0.2477
Co23 Co 0.3664 0.3664 0.2477
Co24 Co 0.4117 0.5755 0.6641
Co25 Co 0.4117 0.9245 0.6641
Co26 Co 0.4148 0.2500 0.9706
Co27 Co 0.4245 0.5883 0.3359
Co28 Co 0.4245 0.9117 0.3359
Co29 Co 0.4783 0.2500 0.4733
Co30 Co 0.5217 0.7500 0.5267
Co31 Co 0.5755 0.0883 0.6641
Co32 Co 0.5755 0.4117 0.6641
Co33 Co 0.5852 0.7500 0.0294
Co34 Co 0.5883 0.0755 0.3359
Co35 Co 0.5883 0.4245 0.3359
Co36 Co 0.6336 0.6336 0.7523
Co37 Co 0.6336 0.8664 0.7523
Co38 Co 0.6402 0.2500 0.8888
Co39 Co 0.6398 0.6398 0.3009
Co40 Co 0.6398 0.8602 0.3009
Co41 Co 0.7500 0.1402 0.1112
Co42 Co 0.7500 0.3598 0.1112
Co43 Co 0.7500 0.5217 0.5267
Co44 Co 0.7500 0.5852 0.0294
Co45 Co 0.7500 0.7500 0.5346
Co46 Co 0.7500 0.9148 0.0294
Co47 Co 0.7500 0.9783 0.5267
Co48 Co 0.8598 0.2500 0.8888
Co49 Co 0.8602 0.6398 0.3009
Co50 Co 0.8602 0.8602 0.3009
Co51 Co 0.8664 0.6336 0.7523
Co52 Co 0.8664 0.8664 0.7523
Co53 Co 0.9117 0.0755 0.3359
Co54 Co 0.9117 0.4245 0.3359
Co55 Co 0.9148 0.7500 0.0294
Co56 Co 0.9245 0.0883 0.6641
Co57 Co 0.9245 0.4117 0.6641
Co58 Co 0.9783 0.7500 0.5267
Si1 Si 0.0670 0.7500 0.8244
Si2 Si 0.2500 0.5670 0.1756
Si3 Si 0.2500 0.9330 0.1756
Si4 Si 0.4330 0.7500 0.8244
Si5 Si 0.5670 0.2500 0.1756
Si6 Si 0.7500 0.0670 0.8244
Si7 Si 0.7500 0.4330 0.8244
Si8 Si 0.9330 0.2500 0.1756
B1 B 0.0062 0.7500 0.2639
B2 B 0.0649 0.0649 0.4814
B3 B 0.0649 0.4351 0.4814
B4 B 0.2500 0.2500 0.1088
B5 B 0.2500 0.2500 0.8500
B6 B 0.2500 0.5062 0.7361
B7 B 0.2500 0.9938 0.7361
B8 B 0.4351 0.0649 0.4814
B9 B 0.4351 0.4351 0.4814
B10 B 0.4938 0.7500 0.2639
B11 B 0.5062 0.2500 0.7361
B12 B 0.5649 0.5649 0.5186
B13 B 0.5649 0.9351 0.5186
B14 B 0.7500 0.0062 0.2639
B15 B 0.7500 0.4938 0.2639
B16 B 0.7500 0.7500 0.1500
B17 B 0.7500 0.7500 0.8912
B18 B 0.9351 0.5649 0.5186
B19 B 0.9351 0.9351 0.5186
B20 B 0.9938 0.2500 0.7361